A geometry-optimized MoP2IO structure. Source: the Alexandria database, functional GGA+U.

Structure (POSCAR):
```
MoP2IO
1.0
5.145 0.000 0.000
0.000 5.145 0.000
0.000 0.000 3.909
P O I Mo
2 1 1 1
Direct
0.000 0.500 0.000
0.500 0.000 0.000
0.000 0.000 0.500
0.000 0.000 0.000
0.500 0.500 0.500
```


A geometry-optimized MoPIO2 structure. Source: the Alexandria database, functional GGA+U.

Structure (POSCAR):
```
MoPIO2
1.0
3.924 0.000 0.000
0.000 3.924 0.000
0.000 0.000 5.607
I O P Mo
1 2 1 1
Direct
0.500 0.500 0.500
0.000 0.500 0.000
0.500 0.000 0.000
0.000 0.000 0.500
0.000 0.000 0.000
```


A geometry-optimized MoP2IO structure. Source: the Alexandria database, functional GGA+U.

Structure (POSCAR):
```
MoP2IO
1.0
4.940 0.000 0.000
0.000 4.940 0.000
0.000 0.000 3.873
Mo P O I
1 2 1 1
Direct
0.000 0.000 0.000
0.500 0.000 0.000
0.000 0.500 0.000
0.000 0.000 0.500
0.500 0.500 0.500
```


A geometry-optimized MoPIO2 structure. Source: the Alexandria database, functional GGA+U.

Structure (POSCAR):
```
MoPIO2
1.0
3.993 0.000 0.000
0.000 3.993 0.000
0.000 0.000 5.589
O I Mo P
2 1 1 1
Direct
0.000 0.500 0.000
0.500 0.000 0.000
0.000 0.000 0.000
0.500 0.500 0.500
0.000 0.000 0.500
```


| no. | distance to the lowest polymorph of the same formula (meV per atom) |
| --- | --- |
| 1 | 873 |
| 2 | 0 |
| 3 | 0 |
| 4 | 908 |